SrHo3Rh8 | PBE | optimized geometry

Output
electronic total energy: -81.412 eV for the cell shown
energy relative to the elements: -0.60 eV per atom

Cell: 5.3512 5.3512 8.7993 Å, 90.00 90.00 120.00°
Space group P3m1 (No. 156)
Symmetry-distinct sites (fractional):
Sr (0.0000, 0.0000, 0.0000) (multiplicity 1)
Ho (0.0000, 0.0000, 0.3652) (multiplicity 1)
Ho (0.6667, 0.3333, 0.5027) (multiplicity 1)
Ho (0.6667, 0.3333, 0.8686) (multiplicity 1)
Rh (0.1651, 0.3302, 0.6807) (multiplicity 3)
Rh (0.3333, 0.6667, 0.4357) (multiplicity 1)
Rh (0.3333, 0.6667, 0.9351) (multiplicity 1)
Rh (0.5023, 0.0047, 0.1920) (multiplicity 3)

SrHo2Rh | PBE | optimized geometry

Output
electronic total energy: -19.601 eV for the cell shown
energy relative to the elements: -0.35 eV per atom
energy relative to the lowest polymorph listed for this composition: 0.000 eV/atom

Cell: 3.531 3.531 9.631 Å, 90.00 90.00 90.00°
Space group P4/mmm (No. 123)
Symmetry-distinct sites (fractional):
Sr (0.000, 0.000, 0.000) (multiplicity 1)
Ho (0.500, 0.500, 0.336) (multiplicity 2)
Rh (0.000, 0.000, 0.500) (multiplicity 1)

Sr2HoRh9 | PBE | optimized geometry

Output
electronic total energy: -232.477 eV for the cell shown
energy relative to the elements: -0.28 eV per atom

Cell: 5.3293 5.3293 26.7697 Å, 90.00 90.00 120.00°
Space group R-3m (No. 166, hexagonal axes)
Symmetry-distinct sites (fractional):
Sr (0.0000, 0.0000, 0.1408) (multiplicity 6)
Ho (0.0000, 0.0000, 0.0000) (multiplicity 3)
Rh (0.0000, 0.0000, 0.3324) (multiplicity 6)
Rh (0.0000, 0.0000, 0.5000) (multiplicity 3)
Rh (0.0042, 0.5021, 0.0791) (multiplicity 18)

SrHo4Rh5 | PBE | optimized geometry

Output
electronic total energy: -64.364 eV for the cell shown
energy relative to the elements: -0.76 eV per atom

Cell: 3.419 3.419 17.592 Å, 90.00 90.00 90.00°
Space group P4/mmm (No. 123)
Symmetry-distinct sites (fractional):
Sr (0.000, 0.000, 0.000) (multiplicity 1)
Ho (0.000, 0.000, 0.208) (multiplicity 2)
Ho (0.000, 0.000, 0.403) (multiplicity 2)
Rh (0.500, 0.500, 0.121) (multiplicity 2)
Rh (0.500, 0.500, 0.308) (multiplicity 2)
Rh (0.500, 0.500, 0.500) (multiplicity 1)

SrHoRh | PBE | optimized geometry

Output
electronic total energy: -29.657 eV for the cell shown
energy relative to the elements: -0.41 eV per atom
energy relative to the lowest polymorph listed for this composition: 0.032 eV/atom

Cell: 3.529 3.529 13.655 Å, 90.00 90.00 90.00°
Space group I4mm (No. 107)
Symmetry-distinct sites (fractional):
Sr (0.000, 0.000, 0.000) (multiplicity 2)
Ho (0.000, 0.000, 0.254) (multiplicity 2)
Rh (0.000, 0.000, 0.654) (multiplicity 2)

SrHoRh | PBE | optimized geometry

Output
electronic total energy: -119.397 eV for the cell shown
energy relative to the elements: -0.44 eV per atom
energy relative to the lowest polymorph listed for this composition: 0.000 eV/atom

Cell: 21.206 4.977 7.576 Å, 90.00 92.50 90.00°
Space group C2/m (No. 12)
Symmetry-distinct sites (fractional):
Sr (0.078, 0.000, 0.312) (multiplicity 4)
Sr (0.089, 0.500, 0.837) (multiplicity 4)
Ho (0.211, 0.000, 0.614) (multiplicity 4)
Ho (0.233, 0.000, 0.131) (multiplicity 4)
Rh (0.169, 0.500, 0.519) (multiplicity 4)
Rh (0.182, 0.500, 0.160) (multiplicity 4)

Ho2Ta2ZnRh5 | PBE | optimized geometry

Output
electronic total energy: -150.134 eV for the cell shown
energy relative to the elements: -0.42 eV per atom

Cell: 10.704 10.704 3.154 Å, 90.00 90.00 90.00°
Space group P4/mbm (No. 127)
Symmetry-distinct sites (fractional):
Ho (0.167, 0.333, 0.000) (multiplicity 4)
Ta (0.141, 0.641, 0.000) (multiplicity 4)
Zn (0.000, 0.000, 0.000) (multiplicity 2)
Rh (0.000, 0.500, 0.500) (multiplicity 2)
Rh (0.058, 0.810, 0.500) (multiplicity 8)

Ho2TaZn2Rh5 | PBE | optimized geometry

Output
electronic total energy: -133.813 eV for the cell shown
energy relative to the elements: -0.66 eV per atom

Cell: 9.805 9.805 3.526 Å, 90.00 90.00 90.00°
Space group P4/mbm (No. 127)
Symmetry-distinct sites (fractional):
Ho (0.171, 0.329, 0.000) (multiplicity 4)
Ta (0.000, 0.000, 0.000) (multiplicity 2)
Zn (0.126, 0.626, 0.000) (multiplicity 4)
Rh (0.000, 0.500, 0.500) (multiplicity 2)
Rh (0.066, 0.802, 0.500) (multiplicity 8)